FeReSi: optimized geometry, PBE.

* raw total energy: -26.714 eV/cell
* theoretical density: 10.71 g/cm³
* calculated volume: 13.96 A^3/atom

Cell: 3.898 3.898 3.898 Å, 60.00 60.00 60.00°
Element x y z (fractional)
Fe: 0.000 0.000 0.000
Re: 0.250 0.250 0.250
Si: 0.750 0.750 0.750



LaNb2Pt2: optimized geometry, PBE.

* theoretical density: 12.14 g/cm³
* calculated volume: 19.56 A^3/atom
* energy of formation from the pure elements: -166 kJ/mol of formula units
* relative energy among the computed polymorphs: 178.1 meV/atom

Cell: 8.222 8.222 2.894 Å, 90.00 90.00 90.00°
Element x y z (fractional)
La: 0.000 0.000 0.000
La: 0.500 0.500 0.000
Nb: 0.168 0.332 0.500
Nb: 0.332 0.832 0.500
Nb: 0.668 0.168 0.500
Nb: 0.832 0.668 0.500
Pt: 0.123 0.623 0.000
Pt: 0.377 0.123 0.000
Pt: 0.623 0.877 0.000
Pt: 0.877 0.377 0.000



Li7Pd: optimized geometry, PBE.

* theoretical density: 1.95 g/cm³
* calculated volume: 16.47 A^3/atom
* energy of formation from the pure elements: -83 kJ/mol of formula units
* relative energy among the computed polymorphs: 31.2 meV/atom

Cell: 5.711 5.711 5.711 Å, 60.00 60.00 60.00°
Element x y z (fractional)
Li: 0.000 0.000 0.000
Li: 0.000 0.000 0.500
Li: 0.000 0.500 0.000
Li: 0.000 0.500 0.500
Li: 0.500 0.000 0.000
Li: 0.500 0.000 0.500
Li: 0.500 0.500 0.000
Pd: 0.500 0.500 0.500



Q: Which of these has the lowest calculated volume?
A: FeReSi